1.
Entry from Alexandria via LeMat-Bulk: a relaxed structure of Tl2BiH (PBE).

Summary:
ρ, g/cm³: 9.09
Polymorph energy (0 for the lowest one), eV per formula unit: 0.50

Cell and atoms, written as CIF:
```
data_Tl2BiH
_chemical_formula_sum 'Tl4 Bi2 H2'
_space_group_name_H-M_alt 'P 1'
_space_group_IT_number 1
_space_group_name_Hall 'P 1'
_cell_length_a 6.052
_cell_length_b 6.052
_cell_length_c 7.508
_cell_angle_alpha 66.23
_cell_angle_beta 66.23
_cell_angle_gamma 90.00
loop_
_atom_site_label
_atom_site_fract_x
_atom_site_fract_y
_atom_site_fract_z
H1 0.500 0.500 0.000
H2 0.250 0.750 0.500
Tl1 0.497 0.125 0.250
Tl2 0.253 0.625 0.250
Tl3 0.375 0.503 0.750
Tl4 0.875 0.747 0.750
Bi1 0.000 0.000 0.000
Bi2 0.750 0.250 0.500
```


2.
Entry from Alexandria via LeMat-Bulk: a relaxed structure of Tl3Bi2H2 (PBE).

Summary:
Uncorrected energy, eV per cell: -20.08
ρ, g/cm³: 8.64

Cell and atoms, written as CIF:
```
data_Tl3Bi2H2
_chemical_formula_sum 'Tl3 Bi2 H2'
_space_group_name_H-M_alt 'P 1'
_space_group_IT_number 1
_space_group_name_Hall 'P 1'
_cell_length_a 6.858
_cell_length_b 8.299
_cell_length_c 10.089
_cell_angle_alpha 122.37
_cell_angle_beta 95.63
_cell_angle_gamma 135.52
loop_
_atom_site_label
_atom_site_fract_x
_atom_site_fract_y
_atom_site_fract_z
Tl1 0.314 0.997 0.665
Tl2 0.000 0.000 0.000
Tl3 0.686 0.003 0.335
Bi1 0.234 0.045 0.348
Bi2 0.766 0.955 0.652
H1 0.300 0.529 0.842
H2 0.700 0.471 0.158
```


3.
Entry from Alexandria via LeMat-Bulk: a relaxed structure of TlBiH2 (PBE).

Summary:
ρ, g/cm³: 8.31
Polymorph energy (0 for the lowest one), eV per formula unit: 1.64

Cell and atoms, written as CIF:
```
data_TlBiH2
_chemical_formula_sum 'Tl2 Bi2 H4'
_space_group_name_H-M_alt 'P 1'
_space_group_IT_number 1
_space_group_name_Hall 'P 1'
_cell_length_a 5.064
_cell_length_b 5.064
_cell_length_c 7.401
_cell_angle_alpha 70.00
_cell_angle_beta 70.00
_cell_angle_gamma 90.00
loop_
_atom_site_label
_atom_site_fract_x
_atom_site_fract_y
_atom_site_fract_z
H1 0.766 0.125 0.250
H2 0.984 0.625 0.250
H3 0.375 0.234 0.750
H4 0.875 0.016 0.750
Tl1 0.500 0.500 0.000
Tl2 0.250 0.750 0.500
Bi1 0.000 0.000 0.000
Bi2 0.750 0.250 0.500
```


4.
Entry from Alexandria via LeMat-Bulk: a relaxed structure of Tl3Bi4H2 (PBE).

Summary:
Uncorrected energy, eV per cell: -55.27
ρ, g/cm³: 8.74

Cell and atoms, written as CIF:
```
data_Tl3Bi4H2
_chemical_formula_sum 'Tl6 Bi8 H4'
_space_group_name_H-M_alt 'P 1'
_space_group_IT_number 1
_space_group_name_Hall 'P 1'
_cell_length_a 9.934
_cell_length_b 7.519
_cell_length_c 7.517
_cell_angle_alpha 79.29
_cell_angle_beta 89.77
_cell_angle_gamma 89.77
loop_
_atom_site_label
_atom_site_fract_x
_atom_site_fract_y
_atom_site_fract_z
Tl1 0.749 0.159 0.163
Tl2 0.751 0.837 0.841
Tl3 0.251 0.841 0.837
Tl4 0.249 0.163 0.159
Tl5 0.250 0.496 0.504
Tl6 0.750 0.504 0.496
Bi1 0.499 0.855 0.223
Bi2 0.001 0.777 0.145
Bi3 0.501 0.145 0.777
Bi4 0.999 0.223 0.855
Bi5 0.999 0.208 0.443
Bi6 0.501 0.557 0.792
Bi7 0.001 0.792 0.557
Bi8 0.499 0.443 0.208
H1 0.503 0.197 0.524
H2 0.997 0.476 0.803
H3 0.497 0.803 0.476
H4 0.003 0.524 0.197
```


5.
Entry from Alexandria via LeMat-Bulk: a relaxed structure of Tl3Bi2H4 (PBE).

Summary:
Uncorrected energy, eV per cell: -50.70
ρ, g/cm³: 7.77

Cell and atoms, written as CIF:
```
data_Tl3Bi2H4
_chemical_formula_sum 'Tl6 Bi4 H8'
_space_group_name_H-M_alt 'P 1'
_space_group_IT_number 1
_space_group_name_Hall 'P 1'
_cell_length_a 10.882
_cell_length_b 6.795
_cell_length_c 6.795
_cell_angle_alpha 66.79
_cell_angle_beta 103.79
_cell_angle_gamma 103.79
loop_
_atom_site_label
_atom_site_fract_x
_atom_site_fract_y
_atom_site_fract_z
Tl1 0.639 0.416 0.965
Tl2 0.861 0.035 0.584
Tl3 0.361 0.584 0.035
Tl4 0.139 0.965 0.416
Tl5 0.250 0.503 0.497
Tl6 0.750 0.497 0.503
Bi1 0.461 0.162 0.564
Bi2 0.039 0.436 0.838
Bi3 0.539 0.838 0.436
Bi4 0.961 0.564 0.162
H1 0.588 0.061 0.179
H2 0.912 0.821 0.939
H3 0.412 0.939 0.821
H4 0.088 0.179 0.061
H5 0.076 0.198 0.489
H6 0.424 0.511 0.802
H7 0.924 0.802 0.511
H8 0.576 0.489 0.198
```


6.
Entry from Alexandria via LeMat-Bulk: a relaxed structure of Tl4Bi3H2 (PBE).

Summary:
Uncorrected energy, eV per cell: -52.66
ρ, g/cm³: 8.80

Cell and atoms, written as CIF:
```
data_Tl4Bi3H2
_chemical_formula_sum 'Tl8 Bi6 H4'
_space_group_name_H-M_alt 'P 1'
_space_group_IT_number 1
_space_group_name_Hall 'P 1'
_cell_length_a 6.593
_cell_length_b 9.844
_cell_length_c 9.844
_cell_angle_alpha 59.37
_cell_angle_beta 84.22
_cell_angle_gamma 84.22
loop_
_atom_site_label
_atom_site_fract_x
_atom_site_fract_y
_atom_site_fract_z
Tl1 0.499 0.828 0.192
Tl2 0.001 0.808 0.172
Tl3 0.501 0.172 0.808
Tl4 0.999 0.192 0.828
Tl5 0.030 0.206 0.468
Tl6 0.470 0.532 0.794
Tl7 0.970 0.794 0.532
Tl8 0.530 0.468 0.206
Bi1 0.705 0.143 0.190
Bi2 0.795 0.810 0.857
Bi3 0.295 0.857 0.810
Bi4 0.205 0.190 0.143
Bi5 0.250 0.486 0.514
Bi6 0.750 0.514 0.486
H1 0.691 0.061 0.409
H2 0.809 0.591 0.939
H3 0.309 0.939 0.591
H4 0.191 0.409 0.061
```


7.
Entry from Alexandria via LeMat-Bulk: a relaxed structure of TlBi2H3 (PBE).

Summary:
Uncorrected energy, eV per cell: -36.43
ρ, g/cm³: 8.79

Cell and atoms, written as CIF:
```
data_TlBi2H3
_chemical_formula_sum 'Tl2 Bi4 H6'
_space_group_name_H-M_alt 'P 1'
_space_group_IT_number 1
_space_group_name_Hall 'P 1'
_cell_length_a 5.494
_cell_length_b 7.008
_cell_length_c 7.008
_cell_angle_alpha 61.13
_cell_angle_beta 90.00
_cell_angle_gamma 90.00
loop_
_atom_site_label
_atom_site_fract_x
_atom_site_fract_y
_atom_site_fract_z
Tl1 0.750 0.704 0.296
Tl2 0.250 0.296 0.704
Bi1 0.750 0.996 0.653
Bi2 0.250 0.653 0.996
Bi3 0.750 0.347 0.004
Bi4 0.250 0.004 0.347
H1 0.250 0.888 0.112
H2 0.750 0.112 0.888
H3 0.750 0.534 0.696
H4 0.750 0.304 0.466
H5 0.250 0.696 0.534
H6 0.250 0.466 0.304
```


8.
Entry from Alexandria via LeMat-Bulk: a relaxed structure of Tl3BiH (PBE).

Summary:
ρ, g/cm³: 10.50
Polymorph energy (0 for the lowest one), eV per formula unit: 0.00

Cell and atoms, written as CIF:
```
data_Tl3BiH
_chemical_formula_sum 'Tl3 Bi1 H1'
_space_group_name_H-M_alt 'P 1'
_space_group_IT_number 1
_space_group_name_Hall 'P 1'
_cell_length_a 5.068
_cell_length_b 5.068
_cell_length_c 5.068
_cell_angle_alpha 90.00
_cell_angle_beta 90.00
_cell_angle_gamma 90.00
loop_
_atom_site_label
_atom_site_fract_x
_atom_site_fract_y
_atom_site_fract_z
H1 0.000 0.000 0.000
Tl1 0.000 0.500 0.000
Tl2 0.000 0.000 0.500
Tl3 0.500 0.000 0.000
Bi1 0.500 0.500 0.500
```


9.
Entry from Alexandria via LeMat-Bulk: a relaxed structure of Tl5Bi2H4 (PBE).

Summary:
Uncorrected energy, eV per cell: -29.79
ρ, g/cm³: 9.23

Cell and atoms, written as CIF:
```
data_Tl5Bi2H4
_chemical_formula_sum 'Tl5 Bi2 H4'
_space_group_name_H-M_alt 'P 1'
_space_group_IT_number 1
_space_group_name_Hall 'P 1'
_cell_length_a 7.597
_cell_length_b 6.640
_cell_length_c 7.849
_cell_angle_alpha 102.86
_cell_angle_beta 50.49
_cell_angle_gamma 76.95
loop_
_atom_site_label
_atom_site_fract_x
_atom_site_fract_y
_atom_site_fract_z
Tl1 0.309 0.222 0.815
Tl2 0.691 0.778 0.185
Tl3 0.000 0.500 0.500
Tl4 0.704 0.169 0.905
Tl5 0.296 0.831 0.095
Bi1 0.243 0.732 0.671
Bi2 0.757 0.268 0.329
H1 0.399 0.072 0.239
H2 0.601 0.928 0.761
H3 0.667 0.589 0.936
H4 0.333 0.411 0.064
```


10.
Entry from Alexandria via LeMat-Bulk: a relaxed structure of TlBiH4 (PBE).

Summary:
Uncorrected energy, eV per cell: -38.24
ρ, g/cm³: 6.98

Cell and atoms, written as CIF:
```
data_TlBiH4
_chemical_formula_sum 'Tl2 Bi2 H8'
_space_group_name_H-M_alt 'P 1'
_space_group_IT_number 1
_space_group_name_Hall 'P 1'
_cell_length_a 6.254
_cell_length_b 5.651
_cell_length_c 7.111
_cell_angle_alpha 123.72
_cell_angle_beta 71.99
_cell_angle_gamma 102.30
loop_
_atom_site_label
_atom_site_fract_x
_atom_site_fract_y
_atom_site_fract_z
Tl1 0.695 0.701 0.694
Tl2 0.305 0.299 0.306
Bi1 0.110 0.690 0.896
Bi2 0.890 0.310 0.104
H1 0.421 0.266 0.806
H2 0.829 0.129 0.549
H3 0.526 0.231 0.818
H4 0.826 0.007 0.426
H5 0.174 0.993 0.574
H6 0.474 0.769 0.182
H7 0.171 0.871 0.451
H8 0.579 0.734 0.194
```


11.
Entry from Alexandria via LeMat-Bulk: a relaxed structure of YTlBiH2 (PBE).

Summary:
Uncorrected energy, eV per cell: -17.88
ρ, g/cm³: 6.80

Cell and atoms, written as CIF:
```
data_YTlBiH2
_chemical_formula_sum 'Y1 Tl1 Bi1 H2'
_space_group_name_H-M_alt 'P 1'
_space_group_IT_number 1
_space_group_name_Hall 'P 1'
_cell_length_a 4.236
_cell_length_b 6.863
_cell_length_c 4.236
_cell_angle_alpha 90.00
_cell_angle_beta 90.00
_cell_angle_gamma 90.00
loop_
_atom_site_label
_atom_site_fract_x
_atom_site_fract_y
_atom_site_fract_z
Y1 0.000 0.500 0.000
H1 0.000 0.000 0.500
H2 0.500 0.000 0.000
Tl1 0.000 0.000 0.000
Bi1 0.500 0.500 0.500
```


12.
Entry from Alexandria via LeMat-Bulk: a relaxed structure of TlZnBiH2 (PBE).

Summary:
Uncorrected energy, eV per cell: -12.33
ρ, g/cm³: 7.68

Cell and atoms, written as CIF:
```
data_TlZnBiH2
_chemical_formula_sum 'Tl1 Zn1 Bi1 H2'
_space_group_name_H-M_alt 'P 1'
_space_group_IT_number 1
_space_group_name_Hall 'P 1'
_cell_length_a 4.239
_cell_length_b 5.787
_cell_length_c 4.239
_cell_angle_alpha 90.00
_cell_angle_beta 90.00
_cell_angle_gamma 90.00
loop_
_atom_site_label
_atom_site_fract_x
_atom_site_fract_y
_atom_site_fract_z
Zn1 0.000 0.500 0.000
Tl1 0.500 0.500 0.500
Bi1 0.000 0.000 0.000
H1 0.000 0.000 0.500
H2 0.500 0.000 0.000
```